# PBEsol NaPNCl2, optimized geometry
data_NaPNCl2
_chemical_formula_sum 'Na1 P1 N1 Cl2'
_space_group_name_H-M_alt 'P 1'
_space_group_IT_number 1
_cell_length_a 3.301
_cell_length_b 5.556
_cell_length_c 5.556
_cell_angle_alpha 90.00
_cell_angle_beta 90.00
_cell_angle_gamma 90.00
loop_
_space_group_symop_operation_xyz
'x,y,z'
loop_
_atom_site_label
_atom_site_type_symbol
_atom_site_fract_x
_atom_site_fract_y
_atom_site_fract_z
Cl1 Cl 0.000 0.000 0.500
Cl2 Cl 0.000 0.500 0.000
N1 N 0.000 0.000 0.000
P1 P 0.500 0.000 0.000
Na1 Na 0.500 0.500 0.500
# Symmetry ... P4/mmm (123)
# E ... -3.89 eV/atom

***

# PBEsol NaZr2SN2Cl, optimized geometry
data_NaZr2SN2Cl
_chemical_formula_sum 'Na4 Zr8 S4 N8 Cl4'
_space_group_name_H-M_alt 'P 1'
_space_group_IT_number 1
_cell_length_a 6.316
_cell_length_b 7.252
_cell_length_c 10.091
_cell_angle_alpha 90.00
_cell_angle_beta 101.75
_cell_angle_gamma 90.00
loop_
_space_group_symop_operation_xyz
'x,y,z'
loop_
_atom_site_label
_atom_site_type_symbol
_atom_site_fract_x
_atom_site_fract_y
_atom_site_fract_z
N1 N 0.098 0.867 0.588
N2 N 0.598 0.633 0.588
N3 N 0.873 0.615 0.413
N4 N 0.402 0.367 0.412
N5 N 0.627 0.115 0.587
N6 N 0.127 0.385 0.587
N7 N 0.373 0.885 0.413
N8 N 0.902 0.133 0.412
Zr1 Zr 0.054 0.381 0.373
Zr2 Zr 0.446 0.881 0.627
Zr3 Zr 0.028 0.867 0.368
Zr4 Zr 0.554 0.119 0.373
Zr5 Zr 0.946 0.619 0.627
Zr6 Zr 0.528 0.633 0.368
Zr7 Zr 0.472 0.367 0.632
Zr8 Zr 0.972 0.133 0.632
Na1 Na 0.762 0.624 0.007
Na2 Na 0.262 0.876 0.007
Na3 Na 0.738 0.124 0.993
Na4 Na 0.238 0.376 0.993
S1 S 0.353 0.123 0.809
S2 S 0.647 0.877 0.191
S3 S 0.853 0.377 0.809
S4 S 0.147 0.623 0.191
Cl1 Cl 0.138 0.130 0.174
Cl2 Cl 0.638 0.370 0.174
Cl3 Cl 0.862 0.870 0.826
Cl4 Cl 0.362 0.630 0.826
# Symmetry ... P2_1/c (14)
# E ... -7.91 eV/atom

***

# PBEsol NaZr2SN2Cl, optimized geometry
data_NaZr2SN2Cl
_chemical_formula_sum 'Na1 Zr2 S1 N2 Cl1'
_space_group_name_H-M_alt 'P 1'
_space_group_IT_number 1
_cell_length_a 3.634
_cell_length_b 3.634
_cell_length_c 10.185
_cell_angle_alpha 79.72
_cell_angle_beta 79.72
_cell_angle_gamma 60.00
loop_
_space_group_symop_operation_xyz
'x,y,z'
loop_
_atom_site_label
_atom_site_type_symbol
_atom_site_fract_x
_atom_site_fract_y
_atom_site_fract_z
Na1 Na 0.005 0.005 0.984
Zr1 Zr 0.206 0.206 0.383
Zr2 Zr 0.786 0.786 0.642
N1 N 0.862 0.862 0.413
N2 N 0.137 0.137 0.588
Cl1 Cl 0.607 0.607 0.178
S1 S 0.396 0.396 0.812
# Symmetry ... R3m (160)
# E ... -7.89 eV/atom

***

# PBEsol NaTi5N5Cl5, optimized geometry
data_NaTi5N5Cl5
_chemical_formula_sum 'Na2 Ti10 N10 Cl10'
_space_group_name_H-M_alt 'P 1'
_space_group_IT_number 1
_cell_length_a 5.164
_cell_length_b 9.267
_cell_length_c 12.239
_cell_angle_alpha 70.39
_cell_angle_beta 87.36
_cell_angle_gamma 86.92
loop_
_space_group_symop_operation_xyz
'x,y,z'
loop_
_atom_site_label
_atom_site_type_symbol
_atom_site_fract_x
_atom_site_fract_y
_atom_site_fract_z
Ti1 Ti 0.342 0.353 0.725
Ti2 Ti 0.459 0.044 0.877
Ti3 Ti 0.258 0.445 0.479
Ti4 Ti 0.058 0.845 0.077
Ti5 Ti 0.143 0.754 0.324
Ti6 Ti 0.742 0.555 0.521
Ti7 Ti 0.658 0.647 0.275
Ti8 Ti 0.857 0.246 0.676
Ti9 Ti 0.942 0.155 0.923
Ti10 Ti 0.541 0.956 0.123
N1 N 0.156 0.162 0.784
N2 N 0.755 0.963 0.984
N3 N 0.245 0.037 0.016
N4 N 0.045 0.439 0.617
N5 N 0.645 0.236 0.816
N6 N 0.556 0.362 0.584
N7 N 0.444 0.638 0.416
N8 N 0.955 0.561 0.383
N9 N 0.844 0.838 0.216
N10 N 0.355 0.764 0.184
Cl1 Cl 0.320 0.012 0.292
Cl2 Cl 0.081 0.189 0.508
Cl3 Cl 0.680 0.988 0.708
Cl4 Cl 0.520 0.614 0.692
Cl5 Cl 0.121 0.413 0.890
Cl6 Cl 0.919 0.811 0.492
Cl7 Cl 0.282 0.786 0.910
Cl8 Cl 0.879 0.587 0.110
Cl9 Cl 0.718 0.214 0.090
Cl10 Cl 0.480 0.386 0.308
Na1 Na 0.996 0.277 0.262
Na2 Na 0.004 0.723 0.738
# Symmetry ... P-1 (2)
# E ... -7.64 eV/atom

***

# PBEsol NaW6NCl18, optimized geometry
data_NaW6NCl18
_chemical_formula_sum 'Na2 W12 N2 Cl36'
_space_group_name_H-M_alt 'P 1'
_space_group_IT_number 1
_cell_length_a 9.008
_cell_length_b 9.008
_cell_length_c 17.855
_cell_angle_alpha 90.00
_cell_angle_beta 90.00
_cell_angle_gamma 120.00
loop_
_space_group_symop_operation_xyz
'x,y,z'
loop_
_atom_site_label
_atom_site_type_symbol
_atom_site_fract_x
_atom_site_fract_y
_atom_site_fract_z
Cl1 Cl 0.261 0.230 0.899
Cl2 Cl 0.483 0.370 0.071
Cl3 Cl 0.084 0.284 0.750
Cl4 Cl 0.284 0.199 0.250
Cl5 Cl 0.030 0.261 0.101
Cl6 Cl 0.887 0.517 0.071
Cl7 Cl 0.230 0.970 0.101
Cl8 Cl 0.716 0.801 0.750
Cl9 Cl 0.575 0.052 0.750
Cl10 Cl 0.970 0.739 0.601
Cl11 Cl 0.052 0.477 0.250
Cl12 Cl 0.523 0.575 0.250
Cl13 Cl 0.970 0.739 0.899
Cl14 Cl 0.630 0.113 0.429
Cl15 Cl 0.739 0.770 0.101
Cl16 Cl 0.517 0.630 0.929
Cl17 Cl 0.630 0.113 0.071
Cl18 Cl 0.113 0.483 0.929
Cl19 Cl 0.739 0.770 0.399
Cl20 Cl 0.425 0.948 0.250
Cl21 Cl 0.113 0.483 0.571
Cl22 Cl 0.370 0.887 0.571
Cl23 Cl 0.801 0.084 0.250
Cl24 Cl 0.916 0.716 0.250
Cl25 Cl 0.370 0.887 0.929
Cl26 Cl 0.477 0.425 0.750
Cl27 Cl 0.483 0.370 0.429
Cl28 Cl 0.948 0.523 0.750
Cl29 Cl 0.230 0.970 0.399
Cl30 Cl 0.517 0.630 0.571
Cl31 Cl 0.770 0.030 0.899
Cl32 Cl 0.770 0.030 0.601
Cl33 Cl 0.030 0.261 0.399
Cl34 Cl 0.199 0.916 0.750
Cl35 Cl 0.887 0.517 0.429
Cl36 Cl 0.261 0.230 0.601
W1 W 0.516 0.818 0.664
W2 W 0.818 0.302 0.164
W3 W 0.698 0.516 0.336
W4 W 0.182 0.698 0.836
W5 W 0.484 0.182 0.336
W6 W 0.818 0.302 0.336
W7 W 0.302 0.484 0.664
W8 W 0.302 0.484 0.836
W9 W 0.182 0.698 0.664
W10 W 0.698 0.516 0.164
W11 W 0.484 0.182 0.164
W12 W 0.516 0.818 0.836
N1 N 0.667 0.333 0.250
N2 N 0.333 0.667 0.750
Na1 Na 0.000 0.000 0.000
Na2 Na 0.000 0.000 0.500
# Symmetry ... P6_3/m (176)
# E ... -5.88 eV/atom

***

# PBEsol NbNCl2, optimized geometry
data_NbNCl2
_chemical_formula_sum 'Nb1 N1 Cl2'
_space_group_name_H-M_alt 'P 1'
_space_group_IT_number 1
_cell_length_a 4.251
_cell_length_b 4.251
_cell_length_c 4.251
_cell_angle_alpha 60.00
_cell_angle_beta 60.00
_cell_angle_gamma 60.00
loop_
_space_group_symop_operation_xyz
'x,y,z'
loop_
_atom_site_label
_atom_site_type_symbol
_atom_site_fract_x
_atom_site_fract_y
_atom_site_fract_z
Cl1 Cl 0.250 0.250 0.250
Cl2 Cl 0.750 0.750 0.750
N1 N 0.000 0.000 0.000
Nb1 Nb 0.500 0.500 0.500
# Symmetry ... Fm-3m (225)
# E ... -5.20 eV/atom

***

# PBEsol NbP2NCl12, optimized geometry
data_NbP2NCl12
_chemical_formula_sum 'Nb2 P4 N2 Cl24'
_space_group_name_H-M_alt 'P 1'
_space_group_IT_number 1
_cell_length_a 8.107
_cell_length_b 8.107
_cell_length_c 15.166
_cell_angle_alpha 77.72
_cell_angle_beta 77.72
_cell_angle_gamma 66.20
loop_
_space_group_symop_operation_xyz
'x,y,z'
loop_
_atom_site_label
_atom_site_type_symbol
_atom_site_fract_x
_atom_site_fract_y
_atom_site_fract_z
Cl1 Cl 0.219 0.699 0.013
Cl2 Cl 0.301 0.781 0.487
Cl3 Cl 0.511 0.093 0.359
Cl4 Cl 0.502 0.231 0.834
Cl5 Cl 0.231 0.502 0.334
Cl6 Cl 0.385 0.277 0.167
Cl7 Cl 0.615 0.723 0.833
Cl8 Cl 0.093 0.511 0.859
Cl9 Cl 0.907 0.489 0.141
Cl10 Cl 0.884 0.952 0.156
Cl11 Cl 0.769 0.498 0.666
Cl12 Cl 0.103 0.208 0.539
Cl13 Cl 0.699 0.219 0.513
Cl14 Cl 0.897 0.792 0.461
Cl15 Cl 0.489 0.907 0.641
Cl16 Cl 0.208 0.103 0.039
Cl17 Cl 0.792 0.897 0.961
Cl18 Cl 0.723 0.615 0.333
Cl19 Cl 0.781 0.301 0.987
Cl20 Cl 0.952 0.884 0.656
Cl21 Cl 0.048 0.116 0.344
Cl22 Cl 0.277 0.385 0.667
Cl23 Cl 0.498 0.769 0.166
Cl24 Cl 0.116 0.048 0.844
P1 P 0.678 0.548 0.225
P2 P 0.548 0.678 0.725
P3 P 0.452 0.322 0.275
P4 P 0.322 0.452 0.775
N1 N 0.381 0.619 0.750
N2 N 0.619 0.381 0.250
Nb1 Nb 0.000 0.000 0.500
Nb2 Nb 0.000 0.000 0.000
# Symmetry ... C2/c (15)
# E ... -4.31 eV/atom

***

# PBEsol NbSe2NCl, optimized geometry
data_NbSe2NCl
_chemical_formula_sum 'Nb1 Se2 N1 Cl1'
_space_group_name_H-M_alt 'P 1'
_space_group_IT_number 1
_cell_length_a 3.329
_cell_length_b 4.958
_cell_length_c 4.958
_cell_angle_alpha 90.00
_cell_angle_beta 90.00
_cell_angle_gamma 90.00
loop_
_space_group_symop_operation_xyz
'x,y,z'
loop_
_atom_site_label
_atom_site_type_symbol
_atom_site_fract_x
_atom_site_fract_y
_atom_site_fract_z
Se1 Se 0.000 0.000 0.500
Se2 Se 0.000 0.500 0.000
Nb1 Nb 0.500 0.500 0.500
N1 N 0.500 0.000 0.000
Cl1 Cl 0.000 0.000 0.000
# Symmetry ... P4/mmm (123)
# E ... -4.52 eV/atom

***

# PBEsol Nd4Si4N7ClO3, optimized geometry
data_Nd4Si4N7ClO3
_chemical_formula_sum 'Nd16 Si16 N28 Cl4 O12'
_space_group_name_H-M_alt 'P 1'
_space_group_IT_number 1
_cell_length_a 10.278
_cell_length_b 10.339
_cell_length_c 10.473
_cell_angle_alpha 90.00
_cell_angle_beta 90.00
_cell_angle_gamma 90.00
loop_
_space_group_symop_operation_xyz
'x,y,z'
loop_
_atom_site_label
_atom_site_type_symbol
_atom_site_fract_x
_atom_site_fract_y
_atom_site_fract_z
N1 N 0.212 0.742 0.577
N2 N 0.950 0.132 0.421
N3 N 0.050 0.632 0.079
N4 N 0.629 0.850 0.676
N5 N 0.133 0.421 0.947
N6 N 0.788 0.242 0.923
N7 N 0.129 0.650 0.324
N8 N 0.421 0.946 0.134
N9 N 0.867 0.921 0.553
N10 N 0.350 0.826 0.370
N11 N 0.871 0.150 0.176
N12 N 0.550 0.868 0.921
N13 N 0.173 0.871 0.150
N14 N 0.633 0.079 0.053
N15 N 0.079 0.054 0.634
N16 N 0.650 0.326 0.130
N17 N 0.150 0.174 0.870
N18 N 0.371 0.350 0.824
N19 N 0.450 0.368 0.579
N20 N 0.288 0.258 0.077
N21 N 0.850 0.674 0.630
N22 N 0.673 0.629 0.850
N23 N 0.921 0.554 0.866
N24 N 0.827 0.371 0.350
N25 N 0.712 0.758 0.423
N26 N 0.327 0.129 0.650
N27 N 0.579 0.446 0.366
N28 N 0.367 0.579 0.447
Nd1 Nd 0.892 0.608 0.397
Nd2 Nd 0.807 0.949 0.321
Nd3 Nd 0.956 0.316 0.809
Nd4 Nd 0.307 0.551 0.679
Nd5 Nd 0.108 0.108 0.103
Nd6 Nd 0.608 0.392 0.897
Nd7 Nd 0.392 0.892 0.603
Nd8 Nd 0.044 0.816 0.691
Nd9 Nd 0.317 0.812 0.956
Nd10 Nd 0.544 0.684 0.309
Nd11 Nd 0.456 0.184 0.191
Nd12 Nd 0.693 0.051 0.821
Nd13 Nd 0.193 0.449 0.179
Nd14 Nd 0.683 0.312 0.544
Nd15 Nd 0.183 0.188 0.456
Nd16 Nd 0.817 0.688 0.044
O1 O 0.741 0.569 0.211
O2 O 0.428 0.714 0.764
O3 O 0.166 0.666 0.841
O4 O 0.928 0.786 0.236
O5 O 0.259 0.069 0.289
O6 O 0.834 0.166 0.659
O7 O 0.334 0.334 0.341
O8 O 0.072 0.286 0.264
O9 O 0.666 0.834 0.159
O10 O 0.572 0.214 0.736
O11 O 0.759 0.431 0.711
O12 O 0.241 0.931 0.789
Si1 Si 0.080 0.742 0.196
Si2 Si 0.072 0.571 0.929
Si3 Si 0.928 0.071 0.571
Si4 Si 0.572 0.929 0.071
Si5 Si 0.920 0.242 0.304
Si6 Si 0.248 0.301 0.925
Si7 Si 0.748 0.199 0.075
Si8 Si 0.304 0.919 0.245
Si9 Si 0.420 0.258 0.696
Si10 Si 0.696 0.419 0.255
Si11 Si 0.752 0.801 0.575
Si12 Si 0.196 0.081 0.745
Si13 Si 0.580 0.758 0.804
Si14 Si 0.428 0.429 0.429
Si15 Si 0.252 0.699 0.425
Si16 Si 0.804 0.581 0.755
Cl1 Cl 0.076 0.421 0.571
Cl2 Cl 0.924 0.921 0.929
Cl3 Cl 0.576 0.079 0.429
Cl4 Cl 0.424 0.579 0.071
# Symmetry ... P2_12_12_1 (19)
# E ... -8.39 eV/atom

***

# PBEsol Nd4S3NCl3, optimized geometry
data_Nd4S3NCl3
_chemical_formula_sum 'Nd8 S6 N2 Cl6'
_space_group_name_H-M_alt 'P 1'
_space_group_IT_number 1
_cell_length_a 6.783
_cell_length_b 9.206
_cell_length_c 9.206
_cell_angle_alpha 120.00
_cell_angle_beta 90.00
_cell_angle_gamma 90.00
loop_
_space_group_symop_operation_xyz
'x,y,z'
loop_
_atom_site_label
_atom_site_type_symbol
_atom_site_fract_x
_atom_site_fract_y
_atom_site_fract_z
S1 S 0.469 0.531 0.062
S2 S 0.969 0.469 0.531
S3 S 0.469 0.531 0.469
S4 S 0.969 0.469 0.938
S5 S 0.469 0.938 0.469
S6 S 0.969 0.062 0.531
Nd1 Nd 0.748 0.402 0.201
Nd2 Nd 0.248 0.598 0.799
Nd3 Nd 0.748 0.799 0.598
Nd4 Nd 0.748 0.799 0.201
Nd5 Nd 0.711 0.333 0.667
Nd6 Nd 0.248 0.201 0.799
Nd7 Nd 0.248 0.201 0.402
Nd8 Nd 0.211 0.667 0.333
Cl1 Cl 0.140 0.868 0.132
Cl2 Cl 0.640 0.132 0.264
Cl3 Cl 0.140 0.868 0.736
Cl4 Cl 0.640 0.132 0.868
Cl5 Cl 0.640 0.736 0.868
Cl6 Cl 0.140 0.264 0.132
N1 N 0.867 0.667 0.333
N2 N 0.367 0.333 0.667
# Symmetry ... P6_3mc (186)
# E ... -6.53 eV/atom

***

# PBEsol NiN3Cl, optimized geometry
data_NiN3Cl
_chemical_formula_sum 'Ni1 N3 Cl1'
_space_group_name_H-M_alt 'P 1'
_space_group_IT_number 1
_cell_length_a 3.627
_cell_length_b 3.627
_cell_length_c 3.627
_cell_angle_alpha 90.00
_cell_angle_beta 90.00
_cell_angle_gamma 90.00
loop_
_space_group_symop_operation_xyz
'x,y,z'
loop_
_atom_site_label
_atom_site_type_symbol
_atom_site_fract_x
_atom_site_fract_y
_atom_site_fract_z
Cl1 Cl 0.000 0.000 0.000
N1 N 0.500 0.000 0.000
N2 N 0.000 0.000 0.500
N3 N 0.000 0.500 0.000
Ni1 Ni 0.500 0.500 0.500
# Symmetry ... Pm-3m (221)
# E ... -4.01 eV/atom

***

# PBEsol Ni2NCl, optimized geometry
data_Ni2NCl
_chemical_formula_sum 'Ni2 N1 Cl1'
_space_group_name_H-M_alt 'P 1'
_space_group_IT_number 1
_cell_length_a 3.854
_cell_length_b 3.854
_cell_length_c 3.854
_cell_angle_alpha 60.00
_cell_angle_beta 60.00
_cell_angle_gamma 60.00
loop_
_space_group_symop_operation_xyz
'x,y,z'
loop_
_atom_site_label
_atom_site_type_symbol
_atom_site_fract_x
_atom_site_fract_y
_atom_site_fract_z
Cl1 Cl 0.500 0.500 0.500
Ni1 Ni 0.750 0.750 0.750
Ni2 Ni 0.250 0.250 0.250
N1 N 0.000 0.000 0.000
# Symmetry ... Fm-3m (225)
# E ... -4.82 eV/atom